The following is a PBE calculation of a relaxed structure of LaNiS2N, from the Alexandria database.

Summary:
**Formation energy from raw total energies**: 0.781 eV per atom
**Crystal system**: tetragonal

Unit cell a=5.5571 b=5.5571 c=4.2871 alpha=90.00 beta=90.00 gamma=90.00
Positions (direct):
1 Ni 0.5000 0.5000 0.5000
2 S 0.0000 0.5000 0.0000
3 S 0.5000 0.0000 0.0000
4 N 0.0000 0.0000 0.5000
5 La 0.0000 0.0000 0.0000